BaAs: optimized geometry, PBE.

POSCAR file:
```
BaAs
1.0
9.697 0.000 0.000
0.000 9.697 0.000
0.000 0.000 9.697
Ba As
8 8
direct
0.193 0.193 0.807 Ba
0.193 0.807 0.193 Ba
0.307 0.307 0.307 Ba
0.307 0.693 0.693 Ba
0.693 0.307 0.693 Ba
0.693 0.693 0.307 Ba
0.807 0.193 0.193 Ba
0.807 0.807 0.807 Ba
0.116 0.116 0.116 As
0.116 0.884 0.884 As
0.384 0.384 0.616 As
0.384 0.616 0.384 As
0.616 0.384 0.384 As
0.616 0.616 0.616 As
0.884 0.116 0.884 As
0.884 0.884 0.116 As
```

Fermi-level density of states: 0.77 states/eV/atom
formation energy: -0.344 eV per atom

=====

TbPm10Ho6: optimized geometry, PBE.

POSCAR file:
```
TbPm10Ho6
1.0
9.790 0.000 0.000
-4.895 8.478 0.000
0.000 0.000 6.880
Tb Pm Ho
1 10 6
direct
0.000 0.000 0.000 Tb
0.000 0.275 0.316 Pm
0.000 0.725 0.684 Pm
0.275 0.000 0.316 Pm
0.275 0.275 0.684 Pm
0.333 0.667 0.000 Pm
0.333 0.667 0.500 Pm
0.667 0.333 0.000 Pm
0.667 0.333 0.500 Pm
0.725 0.000 0.684 Pm
0.725 0.725 0.316 Pm
0.000 0.372 0.808 Ho
0.000 0.628 0.192 Ho
0.372 0.000 0.808 Ho
0.372 0.372 0.192 Ho
0.628 0.000 0.192 Ho
0.628 0.628 0.808 Ho
```

Fermi-level density of states: 1.44 states/eV/atom
formation energy: 0.128 eV per atom

=====

Nd2TmAs3: optimized geometry, PBE.

POSCAR file:
```
Nd2TmAs3
1.0
4.210 0.000 0.000
0.000 4.210 0.000
0.000 0.000 17.837
Nd Tm As
4 2 6
direct
0.000 0.000 0.166 Nd
0.000 0.000 0.834 Nd
0.500 0.500 0.334 Nd
0.500 0.500 0.666 Nd
0.000 0.000 0.500 Tm
0.500 0.500 0.000 Tm
0.000 0.000 0.000 As
0.000 0.000 0.337 As
0.000 0.000 0.663 As
0.500 0.500 0.163 As
0.500 0.500 0.500 As
0.500 0.500 0.837 As
```

Fermi-level density of states: 0.15 states/eV/atom
formation energy: -1.488 eV per atom

=====

Na9Cd4Au: optimized geometry, PBE.

POSCAR file:
```
Na9Cd4Au
1.0
9.723 0.000 0.000
-4.862 8.420 0.000
0.000 0.000 9.803
Na Cd Au
18 8 2
direct
0.070 0.535 0.250 Na
0.197 0.393 0.557 Na
0.197 0.393 0.943 Na
0.197 0.803 0.557 Na
0.197 0.803 0.943 Na
0.393 0.197 0.057 Na
0.393 0.197 0.443 Na
0.465 0.535 0.250 Na
0.465 0.930 0.250 Na
0.535 0.070 0.750 Na
0.535 0.465 0.750 Na
0.607 0.803 0.557 Na
0.607 0.803 0.943 Na
0.803 0.197 0.057 Na
0.803 0.197 0.443 Na
0.803 0.607 0.057 Na
0.803 0.607 0.443 Na
0.930 0.465 0.750 Na
0.000 0.000 0.000 Cd
0.000 0.000 0.500 Cd
0.112 0.224 0.250 Cd
0.112 0.888 0.250 Cd
0.224 0.112 0.750 Cd
0.776 0.888 0.250 Cd
0.888 0.112 0.750 Cd
0.888 0.776 0.750 Cd
0.333 0.667 0.750 Au
0.667 0.333 0.250 Au
```

Fermi-level density of states: 0.33 states/eV/atom
formation energy: -0.121 eV per atom

=====

CsS: optimized geometry, PBE.

POSCAR file:
```
CsS
1.0
5.263 0.000 0.000
0.000 7.386 0.000
0.000 0.000 9.056
Cs S
4 4
direct
0.000 0.000 0.230 Cs
0.000 0.000 0.770 Cs
0.500 0.500 0.270 Cs
0.500 0.500 0.730 Cs
0.000 0.356 0.500 S
0.000 0.644 0.500 S
0.500 0.144 0.000 S
0.500 0.856 0.000 S
```

Fermi-level density of states: 0.00 states/eV/atom
ΔE_f (raw): -0.96 eV per atom

=====

BeSiNiRh: optimized geometry, PBE.

POSCAR file:
```
BeSiNiRh
1.0
5.621 0.000 0.000
0.000 5.621 0.000
0.000 0.000 5.621
Be Si Ni Rh
4 4 4 4
direct
0.000 0.000 0.000 Be
0.000 0.500 0.500 Be
0.500 0.000 0.500 Be
0.500 0.500 0.000 Be
0.000 0.000 0.500 Si
0.000 0.500 0.000 Si
0.500 0.000 0.000 Si
0.500 0.500 0.500 Si
0.250 0.250 0.250 Ni
0.250 0.750 0.750 Ni
0.750 0.250 0.750 Ni
0.750 0.750 0.250 Ni
0.250 0.250 0.750 Rh
0.250 0.750 0.250 Rh
0.750 0.250 0.250 Rh
0.750 0.750 0.750 Rh
```

Fermi-level density of states: 0.60 states/eV/atom
ΔE_f (raw): -0.62 eV per atom